[1]
Computed, not measured: a relaxed structure of TbYSn4 at the GGA-PBE level of DFT.

The calculation puts the total DFT energy (no corrections) at -5.13 eV per atom.

It has space group Amm2 (No. 38), with a = 4.3472 Å, b = 4.4429 Å, c = 16.4039 Å, α = 90.00°, β = 90.00° and γ = 90.00°. The distinct sites, in fractional coordinates, are Tb at (0.0000, 0.0000, 0.0000), Y at (0.5000, 0.0000, 0.1975), Sn at (0.0000, 0.0000, 0.3516), Sn at (0.0000, 0.0000, 0.6621), Sn at (0.5000, 0.0000, 0.5353) and Sn at (0.5000, 0.0000, 0.8459).



[2]
Computed, not measured: a relaxed structure of TbZr6Sn4 at the GGA-PBE level of DFT.

The calculation puts the total DFT energy (no corrections) at -7.06 eV per atom.

It has space group R-3m (No. 166, hexagonal axes), with a = 6.1006 Å, b = 6.1006 Å, c = 24.0804 Å, α = 90.00°, β = 90.00° and γ = 120.00°. The distinct sites, in fractional coordinates, are Tb at (0.0000, 0.0000, 0.0000), Zr at (0.0023, 0.5012, 0.1049), Sn at (0.0000, 0.0000, 0.1238) and Sn at (0.0000, 0.0000, 0.3327).



[3]
Computed, not measured: a relaxed structure of TbZrSn at the GGA-PBE level of DFT.

The calculation puts the total DFT energy (no corrections) at -5.43 eV per atom.

It has space group F-43m (No. 216), with a = 7.1182 Å, b = 7.1182 Å, c = 7.1182 Å, α = 90.00°, β = 90.00° and γ = 90.00°. The distinct sites, in fractional coordinates, are Tb at (0.0000, 0.0000, 0.0000), Zr at (0.2500, 0.2500, 0.7500) and Sn at (0.0000, 0.0000, 0.5000).



[4]
Computed, not measured: a relaxed structure of Tc2Sn at the GGA-PBE level of DFT.

The calculation puts the total DFT energy (no corrections) at -7.85 eV per atom.

It has space group Fd-3m (No. 227, origin choice 2), with a = 7.4702 Å, b = 7.4702 Å, c = 7.4702 Å, α = 90.00°, β = 90.00° and γ = 90.00°. The distinct sites, in fractional coordinates, are Tc at (0.0000, 0.0000, 0.0000) and Sn at (0.1250, 0.1250, 0.6250).



[5]
Computed, not measured: a relaxed structure of TcSn at the GGA-PBE level of DFT.

The calculation puts the total DFT energy (no corrections) at -5.83 eV per atom.

It has space group F-43m (No. 216), with a = 6.0987 Å, b = 6.0987 Å, c = 6.0987 Å, α = 90.00°, β = 90.00° and γ = 90.00°. The distinct sites, in fractional coordinates, are Tc at (0.0000, 0.0000, 0.0000) and Sn at (0.2500, 0.2500, 0.2500).



[6]
Computed, not measured: a relaxed structure of TcSn at the GGA-PBE level of DFT.

The calculation puts the total DFT energy (no corrections) at -6.46 eV per atom.

It has space group Fm-3m (No. 225), with a = 5.4411 Å, b = 5.4411 Å, c = 5.4411 Å, α = 90.00°, β = 90.00° and γ = 90.00°. The distinct sites, in fractional coordinates, are Tc at (0.0000, 0.0000, 0.0000) and Sn at (0.0000, 0.0000, 0.5000).



[7]
Computed, not measured: a relaxed structure of TcSnTe at the GGA-PBE level of DFT.

The value obtained for the relative energy among the computed polymorphs is 0 meV per atom.

It has space group F-43m (No. 216), with a = 6.4985 Å, b = 6.4985 Å, c = 6.4985 Å, α = 90.00°, β = 90.00° and γ = 90.00°. The distinct sites, in fractional coordinates, are Tc at (0.0000, 0.0000, 0.0000), Sn at (0.2500, 0.2500, 0.2500) and Te at (0.2500, 0.2500, 0.7500).



[8]
Computed, not measured: a relaxed structure of TcSnTe2 at the GGA-PBE level of DFT.

The calculation puts the total DFT energy (no corrections) at -4.46 eV per atom.

It has space group F-43m (No. 216), with a = 7.1130 Å, b = 7.1130 Å, c = 7.1130 Å, α = 90.00°, β = 90.00° and γ = 90.00°. The distinct sites, in fractional coordinates, are Tc at (0.0000, 0.0000, 0.0000), Sn at (0.2500, 0.2500, 0.2500), Te at (0.0000, 0.0000, 0.5000) and Te at (0.2500, 0.2500, 0.7500).



[9]
Computed, not measured: a relaxed structure of TlTcSn2 at the GGA-PBE level of DFT.

The calculation puts the total DFT energy (no corrections) at -4.49 eV per atom.

It has space group F-43m (No. 216), with a = 7.1160 Å, b = 7.1160 Å, c = 7.1160 Å, α = 90.00°, β = 90.00° and γ = 90.00°. The distinct sites, in fractional coordinates, are Tl at (0.0000, 0.0000, 0.0000), Tc at (0.2500, 0.2500, 0.7500), Sn at (0.0000, 0.0000, 0.5000) and Sn at (0.2500, 0.2500, 0.2500).



[10]
Computed, not measured: a relaxed structure of Tl2TcSn at the GGA-PBE level of DFT.

The calculation puts the total DFT energy (no corrections) at -4.03 eV per atom.

It has space group F-43m (No. 216), with a = 7.2234 Å, b = 7.2234 Å, c = 7.2234 Å, α = 90.00°, β = 90.00° and γ = 90.00°. The distinct sites, in fractional coordinates, are Tl at (0.0000, 0.0000, 0.0000), Tl at (0.2500, 0.2500, 0.2500), Tc at (0.0000, 0.0000, 0.5000) and Sn at (0.2500, 0.2500, 0.7500).



[11]
Computed, not measured: a relaxed structure of TmTcSn at the GGA-PBE level of DFT.

The calculation puts the total DFT energy (no corrections) at -5.51 eV per atom.

It has space group F-43m (No. 216), with a = 6.6980 Å, b = 6.6980 Å, c = 6.6980 Å, α = 90.00°, β = 90.00° and γ = 90.00°. The distinct sites, in fractional coordinates, are Tm at (0.0000, 0.0000, 0.0000), Tc at (0.2500, 0.2500, 0.2500) and Sn at (0.2500, 0.2500, 0.7500).



[12]
Computed, not measured: a relaxed structure of UTc2Sn at the GGA-PBE level of DFT.

The calculation puts the total DFT energy (no corrections) at -9.19 eV per atom.

It has space group P4/mmm (No. 123), with a = 4.5110 Å, b = 4.5110 Å, c = 3.5366 Å, α = 90.00°, β = 90.00° and γ = 90.00°. The distinct sites, in fractional coordinates, are U at (0.0000, 0.0000, 0.0000), Tc at (0.0000, 0.5000, 0.5000) and Sn at (0.5000, 0.5000, 0.0000).



[13]
Computed, not measured: a relaxed structure of Tc2SnW at the GGA-PBE level of DFT.

The calculation puts the total DFT energy (no corrections) at -8.98 eV per atom.

It has space group F-43m (No. 216), with a = 6.4009 Å, b = 6.4009 Å, c = 6.4009 Å, α = 90.00°, β = 90.00° and γ = 90.00°. The distinct sites, in fractional coordinates, are Tc at (0.0000, 0.0000, 0.0000), Tc at (0.2500, 0.2500, 0.2500), Sn at (0.0000, 0.0000, 0.5000) and W at (0.2500, 0.2500, 0.7500).



[14]
Computed, not measured: a relaxed structure of TcSnW at the GGA-PBE level of DFT.

The value obtained for the relative energy among the computed polymorphs is 0 meV per atom.

It has space group F-43m (No. 216), with a = 6.1777 Å, b = 6.1777 Å, c = 6.1777 Å, α = 90.00°, β = 90.00° and γ = 90.00°. The distinct sites, in fractional coordinates, are Tc at (0.0000, 0.0000, 0.0000), Sn at (0.2500, 0.2500, 0.7500) and W at (0.2500, 0.2500, 0.2500).



[15]
Computed, not measured: a relaxed structure of YTcSn at the GGA-PBE level of DFT.

The value obtained for the relative energy among the computed polymorphs is 802 meV per atom.

It has space group F-43m (No. 216), with a = 6.7890 Å, b = 6.7890 Å, c = 6.7890 Å, α = 90.00°, β = 90.00° and γ = 90.00°. The distinct sites, in fractional coordinates, are Y at (0.0000, 0.0000, 0.0000), Tc at (0.2500, 0.2500, 0.2500) and Sn at (0.2500, 0.2500, 0.7500).



[16]
Computed, not measured: a relaxed structure of YTc2Sn at the GGA-PBE level of DFT.

The calculation puts the total DFT energy (no corrections) at -7.58 eV per atom.

It has space group F-43m (No. 216), with a = 6.7141 Å, b = 6.7141 Å, c = 6.7141 Å, α = 90.00°, β = 90.00° and γ = 90.00°. The distinct sites, in fractional coordinates, are Y at (0.0000, 0.0000, 0.0000), Tc at (0.0000, 0.0000, 0.5000), Tc at (0.2500, 0.2500, 0.2500) and Sn at (0.2500, 0.2500, 0.7500).



[17]
Computed, not measured: a relaxed structure of YTcSn at the GGA-PBE level of DFT.

The value obtained for the relative energy among the computed polymorphs is 0 meV per atom.

It has space group F-43m (No. 216), with a = 6.6025 Å, b = 6.6025 Å, c = 6.6025 Å, α = 90.00°, β = 90.00° and γ = 90.00°. The distinct sites, in fractional coordinates, are Y at (0.0000, 0.0000, 0.0000), Tc at (0.2500, 0.2500, 0.7500) and Sn at (0.0000, 0.0000, 0.5000).



[18]
Computed, not measured: a relaxed structure of YTcSn2 at the GGA-PBE level of DFT.

The calculation puts the total DFT energy (no corrections) at -6.07 eV per atom.

It has space group F-43m (No. 216), with a = 7.0634 Å, b = 7.0634 Å, c = 7.0634 Å, α = 90.00°, β = 90.00° and γ = 90.00°. The distinct sites, in fractional coordinates, are Y at (0.0000, 0.0000, 0.0000), Tc at (0.2500, 0.2500, 0.7500), Sn at (0.0000, 0.0000, 0.5000) and Sn at (0.2500, 0.2500, 0.2500).



[19]
Computed, not measured: a relaxed structure of Zn2TcSn at the GGA-PBE level of DFT.

The calculation puts the total DFT energy (no corrections) at -3.89 eV per atom.

It has space group F-43m (No. 216), with a = 6.4108 Å, b = 6.4108 Å, c = 6.4108 Å, α = 90.00°, β = 90.00° and γ = 90.00°. The distinct sites, in fractional coordinates, are Zn at (0.0000, 0.0000, 0.0000), Zn at (0.2500, 0.2500, 0.2500), Tc at (0.2500, 0.2500, 0.7500) and Sn at (0.0000, 0.0000, 0.5000).



[20]
Computed, not measured: a relaxed structure of ZnTcSn at the GGA-PBE level of DFT.

The value obtained for the relative energy among the computed polymorphs is 0 meV per atom.

It has space group F-43m (No. 216), with a = 6.2053 Å, b = 6.2053 Å, c = 6.2053 Å, α = 90.00°, β = 90.00° and γ = 90.00°. The distinct sites, in fractional coordinates, are Zn at (0.0000, 0.0000, 0.0000), Tc at (0.2500, 0.2500, 0.7500) and Sn at (0.0000, 0.0000, 0.5000).



The evaluated calculated volume for the records listed, in turn: 26.4, 23.5, 30.1, 17.4, 28.4, 20.1, 22.9, 22.5, 22.5, 23.6, 25.0, 18.0, 16.4, 19.6, 26.1, 18.9, 24.0, 22.0, 16.5, 19.9 A^3/atom.